# 1
DFT (PBE-GGA) results for a relaxed TmNiW crystal. Values from VASP.

Properties
DFT total energy ... -21.3 eV for the cell shown
Excess energy over the best structure of this formula in the dataset ... 0 meV per atom
Energy of formation ... 13.3 kcal/mol of atoms

The structure in Quantum ESPRESSO input format:
```
&SYSTEM
  ibrav = 0, nat = 3, ntyp = 3
/
ATOMIC_SPECIES
Tm 168.93 Tm.upf
W 183.84 W.upf
Ni 58.69 Ni.upf
CELL_PARAMETERS angstrom
0.0000 3.0643 3.0643
3.0643 0.0000 3.0643
3.0643 3.0643 0.0000
ATOMIC_POSITIONS crystal
Tm 0.2500 0.2500 0.2500
W 0.7500 0.7500 0.7500
Ni 0.0000 0.0000 0.0000
```

# 2
DFT (PBE-GGA) results for a relaxed YTmNi2 crystal. Values from VASP.

Properties
DFT total energy ... -47.9 eV for the cell shown
Excess energy over the best structure of this formula in the dataset ... 1 meV per atom
Energy of formation ... -10.9 kcal/mol of atoms

The structure in Quantum ESPRESSO input format:
```
&SYSTEM
  ibrav = 0, nat = 8, ntyp = 3
/
ATOMIC_SPECIES
Ni 58.69 Ni.upf
Y 88.91 Y.upf
Tm 168.93 Tm.upf
CELL_PARAMETERS angstrom
5.4128 0.0000 0.0000
0.0000 4.1422 0.0000
-0.0657 0.0000 7.0254
ATOMIC_POSITIONS crystal
Ni 0.3709 0.7500 0.0348
Ni 0.6291 0.2500 0.9652
Y 0.3674 0.2500 0.3185
Tm 0.8674 0.7500 0.1785
Ni 0.1231 0.7500 0.5384
Y 0.6326 0.7500 0.6815
Ni 0.8769 0.2500 0.4616
Tm 0.1326 0.2500 0.8215
```

# 3
DFT (PBE-GGA) results for a relaxed YTmNi crystal. Values from VASP.

Properties
DFT total energy ... -17.0 eV for the cell shown
Excess energy over the best structure of this formula in the dataset ... 0 meV per atom
Energy of formation ... -3.9 kcal/mol of atoms

The structure in Quantum ESPRESSO input format:
```
&SYSTEM
  ibrav = 0, nat = 3, ntyp = 3
/
ATOMIC_SPECIES
Ni 58.69 Ni.upf
Tm 168.93 Tm.upf
Y 88.91 Y.upf
CELL_PARAMETERS angstrom
0.0000 3.3235 3.3235
3.3235 0.0000 3.3235
3.3235 3.3235 0.0000
ATOMIC_POSITIONS crystal
Ni 0.0000 0.0000 0.0000
Tm 0.2500 0.2500 0.2500
Y 0.7500 0.7500 0.7500
```